Density functional theory data (PBE) for an optimized crystal structure of PaCu2RhO6.

The space group is R3 (No. 146, hexagonal axes) and the conventional cell measures 5.2855, 5.2855 and 15.1107 Å, with angles of 90.00, 90.00 and 120.00 degrees. The inequivalent atoms are Pa at (0.0000, 0.0000, 0.0000), Cu at (0.0000, 0.0000, 0.2395), Cu at (0.0000, 0.0000, 0.8016), Rh at (0.0000, 0.0000, 0.4891), O at (0.0238, 0.6741, 0.0783) and O at (0.0347, 0.3394, 0.5639).

The uncorrected energy comes out at -7.0176 eV/atom. The value obtained for the density is 7.6 g/cm3. For the volume, the calculation gives 365.63 Å³ per cell. The value obtained for the formation energy from raw total energies is -1484.6 kJ/mol of formula units.